(1)
Entry from the Open Quantum Materials Database: an optimized crystal structure of LiHoSO (GGA-PBE).

abc: 5.498 9.226 5.437
angles: 90.00 90.00 90.00
Element x y z (fractional)
Li 0.143 0.038 0.000
Li 0.357 0.038 0.500
Li 0.643 0.962 0.000
Li 0.857 0.962 0.500
Ho 0.005 0.312 0.634
Ho 0.495 0.312 0.134
Ho 0.505 0.688 0.634
Ho 0.995 0.688 0.134
S 0.007 0.641 0.634
S 0.493 0.641 0.134
S 0.507 0.359 0.634
S 0.993 0.359 0.134
O 0.058 0.100 0.666
O 0.442 0.100 0.166
O 0.558 0.900 0.666
O 0.942 0.900 0.166

(2)
Entry from the Open Quantum Materials Database: an optimized crystal structure of Li4HoSbO6 (GGA-PBE).

abc: 5.448 5.448 5.214
angles: 99.38 99.38 120.61
Element x y z (fractional)
Li 0.000 0.000 0.000
Li 0.380 0.620 0.000
Li 0.684 0.316 0.000
Li 0.854 0.146 0.500
Ho 0.189 0.811 0.500
Sb 0.521 0.479 0.500
O 0.141 0.402 0.260
O 0.287 0.249 0.733
O 0.447 0.104 0.260
O 0.598 0.859 0.740
O 0.751 0.713 0.267
O 0.896 0.553 0.740

Let's list VASP energy in order: -6.1718, -6.0373 eV per atom.
Let's list density in order: 5.30, 5.42 g cm⁻³.
Let's list calculated volume in order: 17.2, 10.5 Å³/atom.